## A
Material: AsP2IrO
Method: DFT, GGA-PBE
State: relaxed

Results
symmetry = P4/mmm, No. 123
ρ = 6.7 g/cm3
calculated volume = 17.068 Å³/atom

Unit cell a=4.8057 b=4.8057 c=3.6952 alpha=90.00 beta=90.00 gamma=90.00
Sites, in units of the cell vectors:
As1 0.0000 0.0000 0.0000
P1 0.0000 0.5000 0.5000
P2 0.5000 0.0000 0.5000
Ir1 0.5000 0.5000 0.5000
O1 0.5000 0.5000 0.0000


## B
Material: AsP2IrO
Method: DFT, GGA-PBE
State: relaxed

Results
symmetry = P4/mmm, No. 123
ρ = 7.5 g/cm3
calculated volume = 15.258 Å³/atom

Unit cell a=4.6933 b=4.6933 c=3.4634 alpha=90.00 beta=90.00 gamma=90.00
Sites, in units of the cell vectors:
As1 0.0000 0.0000 0.0000
P1 0.0000 0.5000 0.0000
P2 0.5000 0.0000 0.0000
Ir1 0.5000 0.5000 0.5000
O1 0.0000 0.0000 0.5000


Relative energies, in kJ/mol of atoms, with the most stable structure set to zero: A 0.0; B 35.4.